This record from the Alexandria database describes Pr12Zn2Hg5 after structural relaxation. The functional is PBE.

Lattice parameters (Å, degrees): 7.370 9.536 9.158 85.37 90.00 112.73
Sites, in units of the cell vectors:
Pr  0.967  0.933  0.184
Pr  0.088  0.678  0.937
Pr  0.591  0.678  0.937
Pr  0.096  0.697  0.515
Pr  0.600  0.697  0.515
Pr  0.501  0.003  0.695
Pr  0.499  0.997  0.305
Pr  0.904  0.303  0.485
Pr  0.400  0.303  0.485
Pr  0.912  0.322  0.063
Pr  0.409  0.322  0.063
Pr  0.033  0.067  0.816
Zn  0.665  0.000  0.000
Zn  0.335  0.000  0.000
Hg  0.227  0.453  0.748
Hg  0.292  0.584  0.243
Hg  0.000  0.000  0.500
Hg  0.708  0.416  0.757
Hg  0.773  0.547  0.252

Output
Magnetic moment (μB per formula unit): 0.00
E_form (eV per formula unit): -3.5
Total energy (eV per atom): -3.417


This record from the Alexandria database describes Lu4MnGe8 after structural relaxation. The functional is PBE.

Lattice parameters (Å, degrees): 3.957 4.108 15.737 90.00 90.00 90.00
Last column: magnetic moment on the atom in μB.
Sites, in units of the cell vectors:
Lu  0.000  0.000  0.098  0.00
Lu  0.000  0.500  0.610  0.05
Lu  0.500  0.500  0.398  0.04
Lu  0.500  0.000  0.897  0.01
Mn  0.000  0.000  0.313  2.19
Ge  0.000  0.000  0.464  -0.02
Ge  0.000  0.500  0.940  0.01
Ge  0.500  0.500  0.051  0.00
Ge  0.500  0.000  0.572  0.01
Ge  0.000  0.500  0.237  -0.02
Ge  0.000  0.000  0.751  0.00
Ge  0.500  0.000  0.231  -0.03
Ge  0.500  0.500  0.756  0.01

Output
Magnetic moment (μB per formula unit): 2.49
E_form (eV per formula unit): -6.7
Total energy (eV per atom): -5.449


This record from the Alexandria database describes Y5Sb4Te after structural relaxation. The functional is PBE.

Lattice parameters (Å, degrees): 4.386 4.386 15.815 97.97 97.97 90.00
Sites, in units of the cell vectors:
Y  0.102  0.102  0.204
Y  0.500  0.500  0.000
Y  0.898  0.898  0.796
Y  0.300  0.300  0.600
Y  0.700  0.700  0.400
Sb  0.401  0.401  0.802
Sb  0.800  0.800  0.599
Sb  0.200  0.200  0.401
Sb  0.599  0.599  0.198
Te  0.000  0.000  0.000

Output
Relative energy among the computed polymorphs (meV/atom): 6
Magnetic moment (μB per formula unit): 0.00
Formation energy without anion corrections (eV/f.u.): -12.2
Total energy (eV per atom): -6.418


This record from the Alexandria database describes Na4InHg4 after structural relaxation. The functional is PBE.

Lattice parameters (Å, degrees): 5.922 9.136 9.136 90.00 90.00 90.00
Sites, in units of the cell vectors:
Na  0.358  0.422  0.828
Na  0.858  0.672  0.922
Na  0.358  0.578  0.172
Na  0.142  0.078  0.672
Na  0.642  0.828  0.578
Na  0.142  0.922  0.328
Na  0.858  0.328  0.078
Na  0.642  0.172  0.422
In  0.000  0.000  0.000
In  0.500  0.500  0.500
Hg  0.632  0.899  0.201
Hg  0.632  0.101  0.799
Hg  0.132  0.701  0.601
Hg  0.868  0.399  0.701
Hg  0.868  0.601  0.299
Hg  0.368  0.201  0.101
Hg  0.368  0.799  0.899
Hg  0.132  0.299  0.399

Output
Relative energy among the computed polymorphs (meV/atom): 0
Magnetic moment (μB per formula unit): 0.00
E_form (eV per formula unit): -1.5
Total energy (eV per atom): -1.194


This record from the Alexandria database describes NiAgBr2 after structural relaxation. The functional is PBE.

Lattice parameters (Å, degrees): 4.941 4.941 4.941 60.00 60.00 60.00
Last column: magnetic moment on the atom in μB.
Sites, in units of the cell vectors:
Ag  0.500  0.500  0.500  0.01
Br  0.000  0.000  0.000  0.11
Br  0.250  0.250  0.250  0.08
Ni  0.750  0.750  0.750  0.91

Output
Relative energy among the computed polymorphs (meV/atom): 755
Magnetic moment (μB per formula unit): 1.13
Formation energy without anion corrections (eV/f.u.): 2.5
Total energy (eV per atom): -2.360


This record from the Alexandria database describes Sc2CrAuC after structural relaxation. The functional is PBE.

Lattice parameters (Å, degrees): 4.550 4.550 3.802 90.00 90.00 90.00
Last column: magnetic moment on the atom in μB.
Sites, in units of the cell vectors:
Sc  0.000  0.500  0.000  -0.03
Sc  0.500  0.000  0.000  -0.03
Cr  0.000  0.000  0.500  2.02
C  0.000  0.000  0.000  -0.08
Au  0.500  0.500  0.500  0.02

Output
Magnetic moment (μB per formula unit): 2.01
E_form (eV per formula unit): -2.4
Total energy (eV per atom): -7.433


This record from the Alexandria database describes TeAu3Cl after structural relaxation. The functional is PBE.

Lattice parameters (Å, degrees): 5.248 5.248 5.248 90.00 90.00 90.00
Sites, in units of the cell vectors:
Te  0.000  0.000  0.000
Au  0.000  0.500  0.000
Au  0.000  0.000  0.500
Au  0.500  0.000  0.000
Cl  0.500  0.500  0.500

Output
Magnetic moment (μB per formula unit): 0.00
Formation energy without anion corrections (eV/f.u.): 1.6
Total energy (eV per atom): -2.643


This record from the Alexandria database describes K2TiCo2 after structural relaxation. The functional is PBE.

Lattice parameters (Å, degrees): 9.049 9.049 2.671 90.00 90.00 90.00
Last column: magnetic moment on the atom in μB.
Sites, in units of the cell vectors:
K  0.382  0.882  0.000  -0.03
K  0.882  0.618  0.000  -0.04
K  0.618  0.118  0.000  -0.03
K  0.118  0.382  0.000  -0.04
Co  0.188  0.688  0.500  1.62
Co  0.688  0.812  0.500  1.63
Co  0.812  0.312  0.500  1.62
Co  0.312  0.188  0.500  1.63
Ti  0.000  0.000  0.000  -0.47
Ti  0.500  0.500  0.000  -0.48

Output
Relative energy among the computed polymorphs (meV/atom): 0
Magnetic moment (μB per formula unit): 2.22
E_form (eV per formula unit): 7.2
Total energy (eV per atom): -3.416


This record from the Alexandria database describes HoHO2 after structural relaxation. The functional is PBE.

Lattice parameters (Å, degrees): 3.506 3.506 5.015 69.54 69.54 60.00
Sites, in units of the cell vectors:
H  0.000  0.000  0.000
Ho  0.500  0.500  0.500
O  0.089  0.089  0.734
O  0.911  0.911  0.266

Output
Magnetic moment (μB per formula unit): 0.00
Total energy (eV per atom): -7.059


This record from the Alexandria database describes CePr6Ho12 after structural relaxation. The functional is PBE.

Lattice parameters (Å, degrees): 8.757 8.757 8.757 98.94 98.94 98.94
Last column: magnetic moment on the atom in μB.
Sites, in units of the cell vectors:
Ce  0.000  0.000  0.000  0.64
Pr  0.901  0.342  0.901  -0.01
Pr  0.901  0.901  0.342  -0.01
Pr  0.342  0.901  0.901  -0.01
Pr  0.099  0.099  0.658  -0.01
Pr  0.099  0.658  0.099  -0.01
Pr  0.658  0.099  0.099  -0.01
Ho  0.755  0.245  0.500  -0.03
Ho  0.353  0.079  0.353  -0.01
Ho  0.353  0.353  0.079  -0.01
Ho  0.921  0.647  0.647  -0.01
Ho  0.647  0.647  0.921  -0.01
Ho  0.647  0.921  0.647  -0.01
Ho  0.500  0.755  0.245  -0.03
Ho  0.245  0.500  0.755  -0.03
Ho  0.245  0.755  0.500  -0.03
Ho  0.500  0.245  0.755  -0.03
Ho  0.755  0.500  0.245  -0.03
Ho  0.079  0.353  0.353  -0.01

Output
Magnetic moment (μB per formula unit): 0.43
E_form (eV per formula unit): 4.1
Total energy (eV per atom): -4.494


This record from the Alexandria database describes Zr2HgTeAs after structural relaxation. The functional is PBE.

Lattice parameters (Å, degrees): 5.334 5.297 5.334 90.00 90.00 90.00
Sites, in units of the cell vectors:
As  0.000  0.500  0.000
Te  0.000  0.000  0.000
Hg  0.500  0.500  0.500
Zr  0.000  0.000  0.500
Zr  0.500  0.000  0.000

Output
Relative energy among the computed polymorphs (meV/atom): 0
Magnetic moment (μB per formula unit): 0.00
Formation energy without anion corrections (eV/f.u.): 3.5
Total energy (eV per atom): -4.340


This record from the Alexandria database describes CeSc5As4 after structural relaxation. The functional is PBE.

Lattice parameters (Å, degrees): 6.383 8.469 9.504 90.00 90.00 90.00
Last column: magnetic moment on the atom in μB.
Sites, in units of the cell vectors:
Ce  0.851  0.000  0.000  0.79
Ce  0.149  0.500  0.500  0.79
Sc  0.255  0.751  0.788  0.03
Sc  0.255  0.249  0.788  0.03
Sc  0.749  0.500  0.000  0.01
Sc  0.255  0.751  0.212  0.03
Sc  0.255  0.249  0.212  0.03
Sc  0.745  0.749  0.288  0.03
Sc  0.745  0.251  0.288  0.03
Sc  0.251  0.000  0.500  0.01
Sc  0.745  0.251  0.712  0.03
Sc  0.745  0.749  0.712  0.03
As  0.008  0.000  0.721  0.00
As  0.529  0.764  0.000  0.00
As  0.529  0.236  0.000  0.00
As  0.008  0.000  0.279  0.00
As  0.992  0.500  0.221  0.00
As  0.471  0.736  0.500  0.00
As  0.471  0.264  0.500  0.00
As  0.992  0.500  0.779  0.00

Output
Magnetic moment (μB per formula unit): 1.12
E_form (eV per formula unit): -8.2
Total energy (eV per atom): -6.440


This record from the Alexandria database describes Y2TmIr9 after structural relaxation. The functional is PBE.

Lattice parameters (Å, degrees): 5.298 5.298 9.314 73.48 73.48 60.00
Sites, in units of the cell vectors:
Y  0.861  0.861  0.417
Y  0.139  0.139  0.583
Tm  0.000  0.000  0.000
Ir  0.667  0.667  0.998
Ir  0.333  0.333  0.002
Ir  0.500  0.500  0.500
Ir  0.419  0.419  0.246
Ir  0.917  0.419  0.246
Ir  0.419  0.917  0.246
Ir  0.581  0.581  0.754
Ir  0.581  0.083  0.754
Ir  0.083  0.581  0.754

Output
Magnetic moment (μB per formula unit): 0.00
E_form (eV per formula unit): -6.9
Total energy (eV per atom): -8.670


This record from the Alexandria database describes SrTlHgGe2 after structural relaxation. The functional is PBE.

Lattice parameters (Å, degrees): 5.384 5.666 5.384 90.00 90.00 90.00
Sites, in units of the cell vectors:
Sr  0.500  0.500  0.500
Tl  0.000  0.500  0.000
Ge  0.000  0.000  0.500
Ge  0.500  0.000  0.000
Hg  0.000  0.000  0.000

Output
Magnetic moment (μB per formula unit): 0.00
E_form (eV per formula unit): 1.3
Total energy (eV per atom): -2.466


This record from the Alexandria database describes InNiP2 after structural relaxation. The functional is PBE.

Lattice parameters (Å, degrees): 4.376 4.745 7.715 90.00 90.00 90.00
Sites, in units of the cell vectors:
In  0.250  0.500  0.366
In  0.750  0.500  0.634
Ni  0.250  0.000  0.915
Ni  0.750  0.000  0.085
P  0.500  0.500  0.000
P  0.000  0.500  0.000
P  0.250  0.000  0.208
P  0.750  0.000  0.792

Output
Magnetic moment (μB per formula unit): 0.00
E_form (eV per formula unit): 0.7
Total energy (eV per atom): -4.661


This record from the Alexandria database describes Er2CdNi after structural relaxation. The functional is PBE.

Lattice parameters (Å, degrees): 5.007 5.007 5.007 60.00 60.00 60.00
Sites, in units of the cell vectors:
Ni  0.000  0.000  0.000
Cd  0.500  0.500  0.500
Er  0.250  0.250  0.250
Er  0.750  0.750  0.750

Output
Relative energy among the computed polymorphs (meV/atom): 109
Magnetic moment (μB per formula unit): 0.00
E_form (eV per formula unit): -1.1
Total energy (eV per atom): -4.237


This record from the Alexandria database describes Cd6HgPb12 after structural relaxation. The functional is PBE.

Lattice parameters (Å, degrees): 9.036 9.036 9.036 109.47 109.47 109.47
Sites, in units of the cell vectors:
Cd  0.359  0.500  0.859
Cd  0.641  0.500  0.141
Cd  0.500  0.859  0.359
Cd  0.500  0.141  0.641
Cd  0.859  0.359  0.500
Cd  0.141  0.641  0.500
Hg  0.000  0.000  0.000
Pb  0.266  0.086  0.819
Pb  0.266  0.447  0.181
Pb  0.734  0.553  0.819
Pb  0.734  0.914  0.181
Pb  0.086  0.819  0.266
Pb  0.447  0.181  0.266
Pb  0.553  0.819  0.734
Pb  0.914  0.181  0.734
Pb  0.819  0.266  0.086
Pb  0.181  0.266  0.447
Pb  0.819  0.734  0.553
Pb  0.181  0.734  0.914

Output
Magnetic moment (μB per formula unit): 0.00
E_form (eV per formula unit): 1.3
Total energy (eV per atom): -2.576


This record from the Alexandria database describes LaReW2 after structural relaxation. The functional is PBE.

Lattice parameters (Å, degrees): 7.734 7.734 6.183 51.29 51.29 90.00
Sites, in units of the cell vectors:
Re  0.000  0.000  0.000
Re  0.750  0.250  0.500
W  0.681  0.125  0.250
W  0.069  0.625  0.250
W  0.375  0.319  0.750
W  0.875  0.931  0.750
La  0.500  0.500  0.000
La  0.250  0.750  0.500

Output
Relative energy among the computed polymorphs (meV/atom): 600
Magnetic moment (μB per formula unit): 0.00
E_form (eV per formula unit): 4.1
Total energy (eV per atom): -9.789


This record from the Alexandria database describes K3AcTb2Se6 after structural relaxation. The functional is PBE.

Lattice parameters (Å, degrees): 7.534 7.534 8.113 98.94 98.94 120.02
Sites, in units of the cell vectors:
K  0.165  0.835  0.500
K  0.835  0.165  0.500
K  0.500  0.500  0.500
Ac  0.000  0.000  0.000
Tb  0.333  0.667  0.000
Tb  0.667  0.333  0.000
Se  0.930  0.579  0.791
Se  0.719  0.719  0.209
Se  0.070  0.421  0.209
Se  0.579  0.930  0.791
Se  0.281  0.281  0.791
Se  0.421  0.070  0.209

Output
Magnetic moment (μB per formula unit): 0.00
Formation energy without anion corrections (eV/f.u.): -21.3
Total energy (eV per atom): -4.903


This record from the Alexandria database describes NaLi2TlCl6 after structural relaxation. The functional is PBE.

Lattice parameters (Å, degrees): 6.649 6.650 7.215 62.55 62.54 59.99
Sites, in units of the cell vectors:
Na  0.810  0.810  0.570
Li  0.514  0.514  0.458
Li  0.012  0.012  0.965
Tl  0.321  0.321  0.038
Cl  0.603  0.241  0.243
Cl  0.241  0.913  0.243
Cl  0.913  0.603  0.243
Cl  0.379  0.737  0.752
Cl  0.737  0.133  0.752
Cl  0.133  0.379  0.752

Output
Magnetic moment (μB per formula unit): 0.00
Formation energy without anion corrections (eV/f.u.): -13.4
Total energy (eV per atom): -3.197